Record 1
! Sm3Pd4Au2 (PBE-GGA, relaxed); values from VASP
&SYSTEM
  ibrav = 0, nat = 18, ntyp = 3
/
ATOMIC_SPECIES
Sm 150.36 Sm.upf
Au 196.97 Au.upf
Pd 106.42 Pd.upf
CELL_PARAMETERS angstrom
-0.731 6.898 -1.795
-7.044 0.000 -2.958
-3.389 2.785 6.255
ATOMIC_POSITIONS crystal
Sm 0.363 0.264 0.024
Au 0.449 0.191 0.507
Sm 0.137 0.976 0.736
Pd 0.600 0.406 0.230
Au 0.949 0.507 0.191
Pd 0.168 0.758 0.054
Sm 0.250 0.590 0.410
Pd 0.100 0.230 0.406
Sm 0.863 0.024 0.264
Pd 0.900 0.770 0.594
Au 0.051 0.493 0.809
Au 0.551 0.809 0.493
Pd 0.668 0.054 0.758
Pd 0.332 0.946 0.242
Sm 0.750 0.410 0.590
Sm 0.637 0.736 0.976
Pd 0.832 0.242 0.946
Pd 0.400 0.594 0.770
! ΔE_f = -0.673 eV per atom
! Magnetization = 0.0 μB per formula unit
! V = 402.3 Å³ per cell



Record 2
! Sm5Pd2Au (PBE-GGA, relaxed); values from VASP
&SYSTEM
  ibrav = 0, nat = 16, ntyp = 3
/
ATOMIC_SPECIES
Sm 150.36 Sm.upf
Pd 106.42 Pd.upf
Au 196.97 Au.upf
CELL_PARAMETERS angstrom
7.239 0.000 -3.417
-1.613 7.057 -3.417
-0.335 -0.420 8.667
ATOMIC_POSITIONS crystal
Sm 0.519 0.695 0.714
Sm 0.805 0.981 0.286
Sm 0.481 0.305 0.286
Pd 0.371 0.871 0.000
Sm 0.019 0.519 0.714
Au 0.250 0.250 0.500
Pd 0.871 0.629 0.000
Sm 0.305 0.805 0.286
Au 0.750 0.750 0.500
Pd 0.629 0.129 0.000
Sm 0.195 0.019 0.714
Pd 0.129 0.371 0.000
Sm 0.500 0.500 0.000
Sm 0.000 0.000 0.000
Sm 0.981 0.481 0.286
Sm 0.695 0.195 0.714
! ΔE_f = -0.611 eV per atom
! Magnetization = 0.0 μB per formula unit
! V = 422.0 Å³ per cell



Record 3
! SmPd4Au4 (PBE-GGA, relaxed); values from VASP
&SYSTEM
  ibrav = 0, nat = 18, ntyp = 3
/
ATOMIC_SPECIES
Au 196.97 Au.upf
Sm 150.36 Sm.upf
Pd 106.42 Pd.upf
CELL_PARAMETERS angstrom
4.274 0.000 0.000
0.000 8.677 0.000
0.000 0.000 8.677
ATOMIC_POSITIONS crystal
Au 0.500 0.172 0.828
Sm 0.000 0.000 0.000
Pd 0.500 0.500 0.163
Au 0.000 0.328 0.672
Au 0.500 0.828 0.828
Pd 0.500 0.837 0.500
Au 0.500 0.172 0.172
Pd 0.500 0.500 0.837
Pd 0.500 0.163 0.500
Sm 0.500 0.500 0.500
Pd 0.000 0.337 0.000
Au 0.500 0.828 0.172
Pd 0.000 0.000 0.337
Au 0.000 0.672 0.328
Pd 0.000 0.663 0.000
Au 0.000 0.672 0.672
Au 0.000 0.328 0.328
Pd 0.000 0.000 0.663
! ΔE_f = -0.397 eV per atom
! Magnetization = 0.0 μB per formula unit
! V = 321.7 Å³ per cell



Record 4
! Sm2Pd5Au5 (PBE-GGA, relaxed); values from VASP
&SYSTEM
  ibrav = 0, nat = 12, ntyp = 3
/
ATOMIC_SPECIES
Au 196.97 Au.upf
Sm 150.36 Sm.upf
Pd 106.42 Pd.upf
CELL_PARAMETERS angstrom
-3.218 -1.676 2.853
-0.823 -4.186 -3.386
6.604 -4.965 4.533
ATOMIC_POSITIONS crystal
Au 0.500 0.750 0.753
Sm 0.000 0.000 0.500
Au 0.500 0.500 0.500
Au 0.500 0.250 0.247
Sm 0.000 0.500 0.000
Pd 0.500 0.000 0.000
Pd 0.000 0.000 0.163
Pd 0.000 0.500 0.334
Pd 0.000 0.000 0.837
Au 0.500 0.750 0.247
Au 0.500 0.250 0.753
Pd 0.000 0.500 0.666
! Offset from the most stable computed form = 0.000 eV per atom
! ΔE_f = -0.538 eV per atom
! Magnetization = 0.0 μB per formula unit
! V = 236.9 Å³ per cell



Record 5
! SmPd2Au6 (PBE-GGA, relaxed); values from VASP
&SYSTEM
  ibrav = 0, nat = 9, ntyp = 3
/
ATOMIC_SPECIES
Au 196.97 Au.upf
Pd 106.42 Pd.upf
Sm 150.36 Sm.upf
CELL_PARAMETERS angstrom
-0.597 -4.094 -0.340
5.862 -0.591 -3.177
1.308 1.383 6.391
ATOMIC_POSITIONS crystal
Au 0.828 0.490 0.656
Au 0.391 0.842 0.782
Au 0.172 0.510 0.344
Au 0.727 0.841 0.454
Pd 0.051 0.831 0.103
Au 0.273 0.159 0.546
Sm 0.500 0.500 0.000
Au 0.609 0.158 0.218
Pd 0.949 0.169 0.897
! Offset from the most stable computed form = 0.000 eV per atom
! ΔE_f = -0.347 eV per atom
! Magnetization = 0.0 μB per formula unit
! V = 167.0 Å³ per cell



Record 6
! SmPd12Au6 (PBE-GGA, relaxed); values from VASP
&SYSTEM
  ibrav = 0, nat = 19, ntyp = 3
/
ATOMIC_SPECIES
Pd 106.42 Pd.upf
Au 196.97 Au.upf
Sm 150.36 Sm.upf
CELL_PARAMETERS angstrom
-4.767 2.533 -5.126
-1.102 -7.354 0.346
-2.375 2.722 6.509
ATOMIC_POSITIONS crystal
Pd 0.103 0.343 0.343
Pd 0.343 0.343 0.103
Pd 0.890 0.500 0.110
Au 0.695 0.300 0.695
Au 0.305 0.305 0.700
Pd 0.657 0.657 0.897
Pd 0.500 0.890 0.110
Pd 0.657 0.897 0.657
Sm 0.000 0.000 0.000
Pd 0.110 0.500 0.890
Au 0.700 0.305 0.305
Au 0.305 0.700 0.305
Au 0.300 0.695 0.695
Pd 0.890 0.110 0.500
Pd 0.500 0.110 0.890
Pd 0.110 0.890 0.500
Pd 0.343 0.103 0.343
Pd 0.897 0.657 0.657
Au 0.695 0.695 0.300
! ΔE_f = 0.017 eV per atom
! Magnetization = 0.0 μB per formula unit
! V = 353.7 Å³ per cell



Record 7
! SmPd3Au (PBE-GGA, relaxed); values from VASP
&SYSTEM
  ibrav = 0, nat = 10, ntyp = 3
/
ATOMIC_SPECIES
Pd 106.42 Pd.upf
Sm 150.36 Sm.upf
Au 196.97 Au.upf
CELL_PARAMETERS angstrom
-2.707 0.620 4.394
4.312 -0.850 2.777
1.071 9.203 -3.713
ATOMIC_POSITIONS crystal
Pd 0.124 0.377 0.249
Sm 0.644 0.144 0.287
Pd 0.128 0.876 0.751
Pd 0.734 0.734 0.469
Pd 0.266 0.266 0.531
Au 0.000 0.000 0.000
Pd 0.623 0.876 0.751
Pd 0.124 0.872 0.249
Au 0.250 0.750 0.500
Sm 0.856 0.356 0.713
! Offset from the most stable computed form = 0.376 eV per atom
! ΔE_f = -0.162 eV per atom
! Magnetization = 0.0 μB per formula unit
! V = 250.8 Å³ per cell



Record 8
! Sm4Pd2Au5 (PBE-GGA, relaxed); values from VASP
&SYSTEM
  ibrav = 0, nat = 11, ntyp = 3
/
ATOMIC_SPECIES
Pd 106.42 Pd.upf
Sm 150.36 Sm.upf
Au 196.97 Au.upf
CELL_PARAMETERS angstrom
-2.961 -1.325 1.956
4.346 -0.585 6.180
-2.473 8.309 1.886
ATOMIC_POSITIONS crystal
Pd 0.000 0.924 0.362
Sm 0.500 0.751 0.590
Au 0.000 0.500 0.000
Au 0.000 0.555 0.337
Au 0.000 0.848 0.869
Pd 0.000 0.076 0.638
Sm 0.500 0.249 0.410
Au 0.000 0.152 0.131
Au 0.000 0.445 0.663
Sm 0.500 0.206 0.865
Sm 0.500 0.794 0.135
! ΔE_f = -0.788 eV per atom
! Magnetization = 0.0 μB per formula unit
! V = 254.2 Å³ per cell



Q: Look up the V of the fifth one.
A: 167.0 Å³ per cell



Q: What is the formula in the fifth record?
A: SmPd2Au6